[1]
Entry from Alexandria: crystalline Cu3Pt3S8 at its relaxed geometry (PBE).

a = 7.227 Å, b = 7.227 Å, c = 7.227 Å
α = 59.16°, β = 59.16°, γ = 59.16°
Fractional positions:
Cu  0.000  0.000  0.000
Cu  0.420  0.420  0.420
Cu  0.580  0.580  0.580
Pt  0.000  0.000  0.500
Pt  0.000  0.500  0.000
Pt  0.500  0.000  0.000
S  0.216  0.758  0.758
S  0.236  0.236  0.236
S  0.242  0.242  0.784
S  0.242  0.784  0.242
S  0.758  0.216  0.758
S  0.758  0.758  0.216
S  0.764  0.764  0.764
S  0.784  0.242  0.242

ΔE_f (raw) ... -0.29 eV per atom
V ... 18.70 Å³ per atom

---

[2]
Entry from Alexandria: crystalline CuPtS5 at its relaxed geometry (PBE).

a = 5.346 Å, b = 5.346 Å, c = 10.606 Å
α = 98.11°, β = 98.11°, γ = 91.40°
Fractional positions:
Cu  0.000  0.500  0.000
Cu  0.500  0.000  0.500
Pt  0.098  0.902  0.750
Pt  0.902  0.098  0.250
S  0.063  0.358  0.791
S  0.113  0.859  0.530
S  0.141  0.887  0.970
S  0.358  0.063  0.291
S  0.415  0.585  0.750
S  0.585  0.415  0.250
S  0.642  0.937  0.709
S  0.859  0.113  0.030
S  0.887  0.141  0.470
S  0.937  0.642  0.209

ΔE_f (raw) ... 0.01 eV per atom
V ... 21.20 Å³ per atom

---

[3]
Entry from Alexandria: crystalline CuSiPt2S at its relaxed geometry (PBE).

a = 4.542 Å, b = 4.542 Å, c = 4.438 Å
α = 90.00°, β = 90.00°, γ = 90.00°
Fractional positions:
Cu  0.000  0.000  0.000
Si  0.000  0.000  0.500
Pt  0.000  0.500  0.500
Pt  0.500  0.000  0.500
S  0.500  0.500  0.000

ΔE_f (raw) ... 0.58 eV per atom
V ... 18.31 Å³ per atom

---

[4]
Entry from Alexandria: crystalline CuSnPtS4 at its relaxed geometry (PBE).

a = 7.275 Å, b = 7.275 Å, c = 7.275 Å
α = 119.38°, β = 118.78°, γ = 91.60°
Fractional positions:
Cu  0.369  0.119  0.250
Cu  0.631  0.881  0.750
Sn  0.000  0.000  0.500
Sn  0.000  0.500  0.000
Pt  0.000  0.500  0.500
Pt  0.500  0.500  0.000
S  0.238  0.739  0.499
S  0.252  0.276  0.523
S  0.252  0.729  0.977
S  0.260  0.261  0.999
S  0.740  0.739  0.001
S  0.748  0.271  0.023
S  0.748  0.724  0.477
S  0.762  0.261  0.501

ΔE_f (raw) ... -0.33 eV per atom
V ... 19.71 Å³ per atom

---

[5]
Entry from Alexandria: crystalline CuPt2WS at its relaxed geometry (PBE).

a = 4.464 Å, b = 4.464 Å, c = 4.411 Å
α = 90.00°, β = 90.00°, γ = 90.00°
Fractional positions:
Cu  0.000  0.000  0.000
Pt  0.000  0.500  0.500
Pt  0.500  0.000  0.500
W  0.500  0.500  0.000
S  0.500  0.500  0.500

ΔE_f (raw) ... 0.71 eV per atom
V ... 17.58 Å³ per atom

---

[6]
Entry from Alexandria: crystalline CuSbPt2 at its relaxed geometry (PBE).

a = 8.310 Å, b = 8.310 Å, c = 8.310 Å
α = 21.84°, β = 21.84°, γ = 21.84°
Fractional positions:
Cu  0.000  0.000  0.000
Sb  0.247  0.247  0.247
Pt  0.499  0.499  0.499
Pt  0.744  0.744  0.744

ΔE_f (raw) ... 0.12 eV per atom
V ... 17.40 Å³ per atom

---

[7]
Entry from Alexandria: crystalline CuSbPt6 at its relaxed geometry (PBE).

a = 3.987 Å, b = 3.987 Å, c = 8.026 Å
α = 90.00°, β = 90.00°, γ = 90.00°
Fractional positions:
Cu  0.000  0.000  0.000
Sb  0.000  0.000  0.500
Pt  0.000  0.500  0.237
Pt  0.000  0.500  0.763
Pt  0.500  0.000  0.237
Pt  0.500  0.000  0.763
Pt  0.500  0.500  0.000
Pt  0.500  0.500  0.500

ΔE_f (raw) ... -0.17 eV per atom
V ... 15.94 Å³ per atom

---

[8]
Entry from Alexandria: crystalline CuSbPt2 at its relaxed geometry (PBE).

a = 3.556 Å, b = 3.556 Å, c = 5.389 Å
α = 90.00°, β = 90.00°, γ = 90.00°
Fractional positions:
Cu  0.000  0.000  0.000
Sb  0.500  0.500  0.689
Pt  0.000  0.000  0.483
Pt  0.500  0.500  0.179

ΔE_f (raw) ... -0.15 eV per atom
V ... 17.04 Å³ per atom

---

no.,N(E_F) (states/eV/f.u.)
1,5.9
2,3.0
3,3.6
4,2.9
5,2.4
6,2.0
7,7.0
8,1.8